(1)
Density functional theory data (GGA-PBE) for a relaxed structure of CoAuS2.

a b c (Å): 6.5098 6.5098 6.5098
angles (deg): 33.23 33.23 33.23
Sites, in units of the cell vectors:
1 Au 0.5112 0.5112 0.5112
2 S 0.6390 0.6390 0.6390
3 S 0.1070 0.1070 0.1070
4 Co 0.9938 0.9938 0.9938

Results
For the magnetic moment, the calculation gives 0.000 μB/f.u.


(2)
Density functional theory data (GGA-PBE) for a relaxed structure of CoAuS2.

a b c (Å): 3.7941 3.7941 5.4757
angles (deg): 90.00 90.00 120.00
Sites, in units of the cell vectors:
1 S 0.3333 0.6667 0.7589
2 S 0.6667 0.3333 0.3177
3 Au 0.0000 0.0000 0.0015
4 Co 0.3333 0.6667 0.3769

Results
For the magnetic moment, the calculation gives 0.000 μB/f.u.


(3)
Density functional theory data (GGA-PBE) for a relaxed structure of CoAuS.

a b c (Å): 3.5119 3.5119 8.8044
angles (deg): 90.00 90.00 90.00
Sites, in units of the cell vectors:
1 Co 0.0000 0.0000 0.5000
2 Co 0.5000 0.5000 0.5000
3 S 0.0000 0.5000 0.6476
4 S 0.5000 0.0000 0.3524
5 Au 0.5000 0.0000 0.0735
6 Au 0.0000 0.5000 0.9265

Results
The energy above the lowest structure with this stoichiometry is 36 meV/atom. For the magnetic moment, the calculation gives 0.004 μB/f.u.


(4)
Density functional theory data (GGA-PBE) for a relaxed structure of CoAuS.

a b c (Å): 3.0517 3.0517 5.8449
angles (deg): 90.00 90.00 120.00
Sites, in units of the cell vectors:
1 S 0.3333 0.6667 0.7197
2 Co 0.6667 0.3333 0.5217
3 Au 0.3333 0.6667 0.1587

Results
The energy above the lowest structure with this stoichiometry is 45 meV/atom. For the magnetic moment, the calculation gives 0.000 μB/f.u.


(5)
Density functional theory data (GGA-PBE) for a relaxed structure of CoAuS2.

a b c (Å): 7.3859 7.4552 7.4552
angles (deg): 85.18 126.90 53.10
Sites, in units of the cell vectors:
1 Au 0.7500 0.8205 0.3205
2 Au 0.2500 0.1795 0.6795
3 Co 0.7500 0.2505 0.7505
4 Co 0.2500 0.7495 0.2495
5 S 0.7411 0.9699 0.8008
6 S 0.7589 0.3008 0.4699
7 S 0.2411 0.6992 0.5301
8 S 0.2589 0.0301 0.1992

Results
For the magnetic moment, the calculation gives 0.000 μB/f.u.


(6)
Density functional theory data (GGA-PBE) for a relaxed structure of CoAuS2.

a b c (Å): 4.8699 4.8699 6.4493
angles (deg): 67.82 67.82 90.00
Sites, in units of the cell vectors:
1 Au 0.5000 0.5000 0.0000
2 Au 0.2500 0.7500 0.5000
3 S 0.2066 0.2066 0.5869
4 S 0.5434 0.0434 0.9131
5 S 0.7934 0.7934 0.4131
6 S 0.9566 0.4566 0.0869
7 Co 0.0000 0.0000 0.0000
8 Co 0.7500 0.2500 0.5000

Results
For the magnetic moment, the calculation gives 0.117 μB/f.u.


(7)
Density functional theory data (GGA-PBE) for a relaxed structure of CoAuS2.

a b c (Å): 11.2466 11.2466 4.3188
angles (deg): 90.00 90.00 165.63
Sites, in units of the cell vectors:
1 Co 0.9409 0.0591 0.7500
2 Co 0.0591 0.9409 0.2500
3 S 0.8405 0.1595 0.7500
4 S 0.0388 0.9612 0.7500
5 S 0.1595 0.8405 0.2500
6 S 0.9612 0.0388 0.2500
7 Au 0.6810 0.3190 0.7500
8 Au 0.3190 0.6810 0.2500

Results
For the magnetic moment, the calculation gives 0.000 μB/f.u.


(8)
Density functional theory data (GGA-PBE) for a relaxed structure of CoAuS2.

a b c (Å): 6.3031 6.0522 6.1431
angles (deg): 69.78 140.97 104.71
Sites, in units of the cell vectors:
1 S 0.7533 0.5583 0.8654
2 S 0.0539 0.4289 0.6579
3 S 0.7548 0.0565 0.1617
4 S 0.4542 0.1859 0.3692
5 Co 0.9031 0.2376 0.9089
6 Co 0.6050 0.3772 0.1183
7 Au 0.2080 0.8176 0.2135
8 Au 0.3001 0.7972 0.8136

Results
For the magnetic moment, the calculation gives 0.000 μB/f.u.


(9)
Density functional theory data (GGA-PBE) for a relaxed structure of CoAuS2.

a b c (Å): 7.4230 7.4230 5.8777
angles (deg): 50.84 50.84 90.00
Sites, in units of the cell vectors:
1 Au 0.7500 0.7500 0.5000
2 Au 0.2500 0.2500 0.5000
3 S 0.8417 0.3417 0.0000
4 S 0.6583 0.8417 0.0000
5 S 0.3417 0.1583 0.0000
6 S 0.1583 0.6583 0.0000
7 Co 0.2500 0.7500 0.5000
8 Co 0.7500 0.2500 0.5000

Results
For the magnetic moment, the calculation gives 0.002 μB/f.u.


(10)
Density functional theory data (GGA-PBE) for a relaxed structure of CoAuS2.

a b c (Å): 17.9844 3.5056 7.5697
angles (deg): 90.00 143.94 90.00
Sites, in units of the cell vectors:
1 Au 0.0164 0.5000 0.8422
2 Au 0.4836 0.0000 0.6578
3 Au 0.5164 0.0000 0.3422
4 Au 0.9836 0.5000 0.1578
5 S 0.3587 0.5000 0.0606
6 S 0.3322 0.5000 0.5691
7 S 0.8587 0.0000 0.5606
8 S 0.6678 0.5000 0.4309
9 S 0.1678 0.0000 0.9309
10 S 0.6413 0.5000 0.9394
11 S 0.1413 0.0000 0.4394
12 S 0.8322 0.0000 0.0691
13 Co 0.2957 0.5000 0.2219
14 Co 0.7957 0.0000 0.7219
15 Co 0.7043 0.5000 0.7781
16 Co 0.2043 0.0000 0.2781

Results
For the magnetic moment, the calculation gives 0.000 μB/f.u.


(11)
Density functional theory data (GGA-PBE) for a relaxed structure of CoAuS2.

a b c (Å): 3.5976 3.5976 5.0942
angles (deg): 90.00 90.00 90.00
Sites, in units of the cell vectors:
1 S 0.5000 0.5000 0.5000
2 S 0.0000 0.0000 0.0000
3 Au 0.5000 0.5000 0.0000
4 Co 0.0000 0.0000 0.5000

Results
For the magnetic moment, the calculation gives 2.225 μB/f.u.


(12)
Density functional theory data (GGA-PBE) for a relaxed structure of CoAuS2.

a b c (Å): 6.1579 7.8234 6.0256
angles (deg): 90.00 90.00 90.00
Sites, in units of the cell vectors:
1 Co 0.4095 0.4052 0.4834
2 Co 0.0905 0.9052 0.9834
3 Co 0.9095 0.0948 0.4834
4 Co 0.5905 0.5948 0.9834
5 S 0.6093 0.6114 0.6235
6 S 0.3884 0.7998 0.0885
7 S 0.3907 0.3886 0.1235
8 S 0.1116 0.2998 0.5885
9 S 0.8884 0.7002 0.0885
10 S 0.8907 0.1114 0.1235
11 S 0.6116 0.2002 0.5885
12 S 0.1093 0.8886 0.6235
13 Au 0.0328 0.5909 0.5543
14 Au 0.5328 0.9091 0.5543
15 Au 0.4672 0.0909 0.0543
16 Au 0.9672 0.4091 0.0543

Results
For the magnetic moment, the calculation gives 0.000 μB/f.u.


(13)
Density functional theory data (GGA-PBE) for a relaxed structure of CoAuS.

a b c (Å): 3.0800 3.0800 17.3123
angles (deg): 90.00 90.00 120.00
Sites, in units of the cell vectors:
1 Au 0.0000 0.0000 0.6121
2 Au 0.6667 0.3333 0.9454
3 Au 0.3333 0.6667 0.2787
4 S 0.3333 0.6667 0.4279
5 S 0.6667 0.3333 0.0945
6 S 0.0000 0.0000 0.7612
7 Co 0.3333 0.6667 0.8267
8 Co 0.0000 0.0000 0.1600
9 Co 0.6667 0.3333 0.4934

Results
The energy above the lowest structure with this stoichiometry is 0 meV/atom. For the magnetic moment, the calculation gives 0.000 μB/f.u.


(14)
Density functional theory data (GGA-PBE) for a relaxed structure of CoAuS2.

a b c (Å): 3.3800 7.2269 5.9166
angles (deg): 74.36 90.00 76.48
Sites, in units of the cell vectors:
1 S 0.7163 0.4743 0.0567
2 S 0.3832 0.1405 0.3271
3 S 0.9168 0.1405 0.8271
4 S 0.2499 0.4743 0.5568
5 Au 0.3166 0.8074 0.4419
6 Au 0.3166 0.8074 0.9419
7 Co 0.8165 0.3074 0.4419
8 Co 0.3165 0.3074 0.9420

Results
For the magnetic moment, the calculation gives 0.000 μB/f.u.


(15)
Density functional theory data (GGA-PBE) for a relaxed structure of CoAuS2.

a b c (Å): 7.6388 3.4156 3.4156
angles (deg): 123.66 115.94 64.06
Sites, in units of the cell vectors:
1 Au 0.0000 0.0000 0.0000
2 S 0.6781 0.7050 0.2950
3 S 0.3219 0.2950 0.7050
4 Co 0.5000 0.5000 0.5000

Results
For the magnetic moment, the calculation gives 0.000 μB/f.u.


(16)
Density functional theory data (GGA-PBE) for a relaxed structure of CoAuS2.

a b c (Å): 3.3736 6.8172 5.9230
angles (deg): 98.05 90.00 90.00
Sites, in units of the cell vectors:
1 S 0.0524 0.4744 0.4514
2 S 0.0524 0.1404 0.0574
3 S 0.5909 0.1404 0.5574
4 S 0.5909 0.4744 0.9514
5 Co 0.5678 0.3074 0.2544
6 Co 0.0755 0.3074 0.7544
7 Au 0.8216 0.8074 0.5044
8 Au 0.8216 0.8074 0.0044

Results
For the magnetic moment, the calculation gives 0.000 μB/f.u.


(17)
Density functional theory data (GGA-PBE) for a relaxed structure of CoAuS2.

a b c (Å): 14.8583 7.1746 7.1746
angles (deg): 87.39 113.37 66.63
Sites, in units of the cell vectors:
1 Au 0.0250 0.4518 0.7571
2 Au 0.8648 0.8259 0.7814
3 Au 0.9750 0.5482 0.2429
4 Au 0.6352 0.2814 0.3259
5 Au 0.1352 0.1741 0.2186
6 Au 0.4750 0.2571 0.9518
7 Au 0.3648 0.7186 0.6741
8 Au 0.5250 0.7429 0.0482
9 S 0.7354 0.6895 0.6855
10 S 0.7646 0.1855 0.1895
11 S 0.0380 0.7860 0.3789
12 S 0.5619 0.5912 0.7734
13 S 0.4381 0.4088 0.2266
14 S 0.7500 0.6706 0.1706
15 S 0.0619 0.7266 0.9088
16 S 0.2500 0.3294 0.8294
17 S 0.9381 0.2734 0.0912
18 S 0.2500 0.7906 0.2906
19 S 0.7500 0.2094 0.7094
20 S 0.4620 0.8789 0.2860
21 S 0.2354 0.8145 0.8105
22 S 0.2646 0.3105 0.3145
23 S 0.5380 0.1211 0.7140
24 S 0.9620 0.2140 0.6211
25 Co 0.8587 0.3505 0.2895
26 Co 0.6413 0.7895 0.8505
27 Co 0.8520 0.3716 0.7541
28 Co 0.6480 0.2541 0.8716
29 Co 0.3587 0.2105 0.1495
30 Co 0.3520 0.7459 0.1284
31 Co 0.1480 0.6284 0.2459
32 Co 0.1413 0.6495 0.7105

Results
For the magnetic moment, the calculation gives 0.000 μB/f.u.


(18)
Density functional theory data (GGA-PBE) for a relaxed structure of CoAuS2.

a b c (Å): 3.3754 3.3754 13.8806
angles (deg): 90.00 90.00 120.00
Sites, in units of the cell vectors:
1 Au 0.6667 0.3333 0.7500
2 Au 0.3333 0.6667 0.2500
3 S 0.3333 0.6667 0.0810
4 S 0.6667 0.3333 0.9190
5 S 0.6667 0.3333 0.5810
6 S 0.3333 0.6667 0.4190
7 Co 0.0000 0.0000 0.5000
8 Co 0.0000 0.0000 0.0000

Results
For the magnetic moment, the calculation gives 0.000 μB/f.u.


(19)
Density functional theory data (GGA-PBE) for a relaxed structure of CoAuS2.

a b c (Å): 5.5118 5.5118 6.2771
angles (deg): 63.96 63.96 90.00
Sites, in units of the cell vectors:
1 Co 0.2500 0.7500 0.5000
2 Co 0.5000 0.5000 0.0000
3 S 0.8750 0.8181 0.7500
4 S 0.1819 0.6250 0.2500
5 S 0.5681 0.1250 0.2500
6 S 0.3750 0.4319 0.7500
7 Au 0.0000 0.0000 0.0000
8 Au 0.7500 0.2500 0.5000

Results
For the magnetic moment, the calculation gives 0.000 μB/f.u.


(20)
Density functional theory data (GGA-PBE) for a relaxed structure of CoAuS2.

a b c (Å): 11.3061 11.3061 3.8147
angles (deg): 90.00 90.00 164.57
Sites, in units of the cell vectors:
1 Au 0.0432 0.9568 0.2500
2 Au 0.9568 0.0432 0.7500
3 S 0.8860 0.1140 0.2500
4 S 0.1140 0.8860 0.7500
5 S 0.7872 0.2128 0.7500
6 S 0.2128 0.7872 0.2500
7 Co 0.6866 0.3134 0.7500
8 Co 0.3134 0.6866 0.2500

Results
For the magnetic moment, the calculation gives 0.000 μB/f.u.


(21)
Density functional theory data (GGA-PBE) for a relaxed structure of CoAuS2.

a b c (Å): 4.3824 4.3824 4.3824
angles (deg): 60.00 60.00 60.00
Sites, in units of the cell vectors:
1 S 0.7500 0.7500 0.7500
2 S 0.2500 0.2500 0.2500
3 Co 0.0000 0.0000 0.0000
4 Au 0.5000 0.5000 0.5000

Results
For the magnetic moment, the calculation gives 0.001 μB/f.u.


(22)
Density functional theory data (GGA-PBE) for a relaxed structure of CoAuS2.

a b c (Å): 3.3073 3.3073 6.9353
angles (deg): 90.00 90.00 120.00
Sites, in units of the cell vectors:
1 Au 0.3333 0.6667 0.4814
2 S 0.3333 0.6667 0.8237
3 S 0.6667 0.3333 0.1667
4 Co 0.0000 0.0000 0.9833

Results
For the magnetic moment, the calculation gives 0.000 μB/f.u.


(23)
Density functional theory data (GGA-PBE) for a relaxed structure of CoAuS4.

a b c (Å): 7.3668 6.7739 7.8494
angles (deg): 124.91 113.77 93.81
Sites, in units of the cell vectors:
1 Au 0.2563 0.5662 0.5664
2 Au 0.7436 0.4338 0.4336
3 S 0.8251 0.9004 0.6810
4 S 0.8874 0.6426 0.8621
5 S 0.6288 0.2535 0.0107
6 S 0.3022 0.0308 0.7884
7 S 0.3712 0.7465 0.9893
8 S 0.6978 0.9692 0.2116
9 S 0.1126 0.3574 0.1379
10 S 0.1748 0.0996 0.3190
11 Co 0.1439 0.9612 0.9612
12 Co 0.8561 0.0388 0.0388

Results
For the magnetic moment, the calculation gives 0.964 μB/f.u.


(24)
Density functional theory data (GGA-PBE) for a relaxed structure of CoAuS2.

a b c (Å): 3.2994 9.1157 7.6975
angles (deg): 130.43 77.64 111.24
Sites, in units of the cell vectors:
1 S 0.3829 0.2453 0.6293
2 S 0.7327 0.6478 0.7356
3 S 0.6322 0.1502 0.9395
4 S 0.9820 0.5526 0.0459
5 Au 0.1824 0.8990 0.3376
6 Au 0.6824 0.3990 0.3376
7 Co 0.3058 0.3456 0.9837
8 Co 0.0590 0.4523 0.6914

Results
For the magnetic moment, the calculation gives 0.000 μB/f.u.


Number 1: E_tot -4.685 eV per atom. Number 2: E_tot -4.591 eV per atom. Number 3: E_tot -4.999 eV per atom. Number 4: E_tot -4.990 eV per atom. Number 5: E_tot -4.814 eV per atom. Number 6: E_tot -4.594 eV per atom. Number 7: E_tot -4.546 eV per atom. Number 8: E_tot -4.837 eV per atom. Number 9: E_tot -4.549 eV per atom. Number 10: E_tot -4.696 eV per atom. Number 11: E_tot -4.443 eV per atom. Number 12: E_tot -4.732 eV per atom. Number 13: E_tot -5.035 eV per atom. Number 14: E_tot -4.918 eV per atom. Number 15: E_tot -4.727 eV per atom. Number 16: E_tot -4.924 eV per atom. Number 17: E_tot -4.746 eV per atom. Number 18: E_tot -4.984 eV per atom. Number 19: E_tot -4.726 eV per atom. Number 20: E_tot -4.627 eV per atom. Number 21: E_tot -4.088 eV per atom. Number 22: E_tot -4.806 eV per atom. Number 23: E_tot -4.430 eV per atom. Number 24: E_tot -4.818 eV per atom.